Entry 1:
CaGe3Sb | GGA-PBE | relaxed

Structure (extended XYZ):
```
5
Lattice="5.3515 0.0000 0.0000 0.0000 5.3515 0.0000 0.0000 0.0000 5.3515" Properties=species:S:1:pos:R:3 pbc="T T T"
Ca 0.0000 0.0000 0.0000
Ge 0.0000 0.0000 2.6757
Ge 0.0000 2.6757 0.0000
Ge 2.6757 0.0000 0.0000
Sb 2.6757 2.6757 2.6757
```

Raw formation energy   0.98 eV per atom
DOS(E_F)   5.69 states/eV/cell
Space-group type   Pm-3m, No. 221
Magnetization   0.12 μB per formula unit
Calculated total energy   -3.02 eV/atom



Entry 2:
POsRh2 | GGA-PBE | relaxed

Structure (extended XYZ):
```
4
Lattice="2.8398 0.0000 0.0000 0.0000 3.8989 0.0000 -1.2850 0.0000 4.9990" Properties=species:S:1:pos:R:3 pbc="T T T"
P 0.0000 0.0000 0.0000
Os -0.6425 0.0000 2.4995
Rh 0.7343 1.9495 1.1906
Rh 0.8205 1.9495 3.8084
```

DOS(E_F)   4.98 states/eV/cell
Space-group type   P2/m, No. 10
Magnetization   0.00 μB per formula unit
Energy of formation   -0.42 kJ per mole of atoms
Calculated total energy   -7.84 eV/atom



Entry 3:
ThTc3P3 | GGA-PBE | relaxed

Structure (extended XYZ):
```
14
Lattice="3.3692 1.9452 6.7250 -3.3692 1.9452 6.7250 0.0000 -3.8905 6.7250" Properties=species:S:1:pos:R:3 pbc="T T T"
Th 0.0000 0.0000 3.3491
Th 0.0000 0.0000 16.8258
Tc -2.4529 -0.1301 7.6197
Tc -1.1138 -2.1893 12.5552
Tc 1.3391 -2.0592 7.6197
Tc -1.3391 2.0592 12.5552
Tc 1.1138 2.1893 7.6197
Tc 2.4529 0.1301 12.5552
P -0.9167 -1.7703 8.2246
P -1.9915 -0.0913 11.9503
P -1.0748 1.6790 8.2246
P 1.0748 -1.6790 11.9503
P 1.9915 0.0913 8.2246
P 0.9167 1.7703 11.9503
```

DOS(E_F)   11.45 states/eV/cell
Space-group type   R-3, No. 148
Magnetization   0.00 μB per formula unit
Energy of formation   -59.21 kJ per mole of atoms
Calculated total energy   -8.43 eV/atom